[1]
Compound: ScCoPd2S
Source: Alexandria
Functional: PBE
Structure: relaxed

Uncorrected formation energy ... -4 kJ/mol of formula units
Density of states at the Fermi level ... 5.745 states/eV/cell
Calculated volume ... 18.88 Å³ per atom
E_tot ... -5.599 eV per atom

Unit cell a=4.483 b=4.483 c=4.696 alpha=90.00 beta=90.00 gamma=90.00
Sites, in units of the cell vectors:
Sc (0.000, 0.000, 0.000)
Co (0.500, 0.500, 0.000)
Pd (0.000, 0.500, 0.500)
Pd (0.500, 0.000, 0.500)
S (0.000, 0.000, 0.500)

---

[2]
Compound: Sr2CoPdS
Source: Alexandria
Functional: PBE
Structure: relaxed

Uncorrected formation energy ... -98 kJ/mol of formula units
Density of states at the Fermi level ... 3.081 states/eV/cell
Calculated volume ... 29.96 Å³ per atom
E_tot ... -4.161 eV per atom

Unit cell a=5.731 b=5.731 c=4.562 alpha=90.00 beta=90.00 gamma=90.00
Sites, in units of the cell vectors:
Sr (0.000, 0.500, 0.000)
Sr (0.500, 0.000, 0.000)
Co (0.000, 0.000, 0.500)
Pd (0.000, 0.000, 0.000)
S (0.500, 0.500, 0.500)

---

Copy entry 2 word for word.
Compound: Sr2CoPdS
Source: Alexandria
Functional: PBE
Structure: relaxed

Uncorrected formation energy ... -98 kJ/mol of formula units
Density of states at the Fermi level ... 3.081 states/eV/cell
Calculated volume ... 29.96 Å³ per atom
E_tot ... -4.161 eV per atom

Unit cell a=5.731 b=5.731 c=4.562 alpha=90.00 beta=90.00 gamma=90.00
Sites, in units of the cell vectors:
Sr (0.000, 0.500, 0.000)
Sr (0.500, 0.000, 0.000)
Co (0.000, 0.000, 0.500)
Pd (0.000, 0.000, 0.000)
S (0.500, 0.500, 0.500)

---

Please write out number 2 again, unchanged.
Compound: Sr2CoPdS
Source: Alexandria
Functional: PBE
Structure: relaxed

Uncorrected formation energy ... -98 kJ/mol of formula units
Density of states at the Fermi level ... 3.081 states/eV/cell
Calculated volume ... 29.96 Å³ per atom
E_tot ... -4.161 eV per atom

Unit cell a=5.731 b=5.731 c=4.562 alpha=90.00 beta=90.00 gamma=90.00
Sites, in units of the cell vectors:
Sr (0.000, 0.500, 0.000)
Sr (0.500, 0.000, 0.000)
Co (0.000, 0.000, 0.500)
Pd (0.000, 0.000, 0.000)
S (0.500, 0.500, 0.500)